# 1
## MgMoPb2 (SCAN)

Data for a crystal of MgMoPb2 relaxed with PBEsol.

* uncorrected energy: -47.46 eV per atom
* size of the total moment: 0.0 μB per cell
* energy of formation from the pure elements: 0.399 eV/atom

Lattice parameters (Å, degrees): 3.646 3.646 6.421 90.00 90.00 90.00
Fractional coordinates of all 4 atoms:
1 Mg 0.000 0.000 0.000
2 Mo 0.000 0.000 0.500
3 Pb 0.500 0.500 0.265
4 Pb 0.500 0.500 0.735

=====

# 2
## BeCuOs2 (SCAN)

Data for a crystal of BeCuOs2 relaxed with PBEsol.

* uncorrected energy: -40.68 eV per atom
* size of the total moment: 0.0 μB per cell
* energy of formation from the pure elements: 0.148 eV/atom

Lattice parameters (Å, degrees): 8.230 8.230 8.230 18.64 18.64 18.64
Fractional coordinates of all 4 atoms:
1 Be 0.000 0.000 0.000
2 Cu 0.258 0.258 0.258
3 Os 0.501 0.501 0.501
4 Os 0.746 0.746 0.746

=====

# 3
## YInTc2 (SCAN)

Data for a crystal of YInTc2 relaxed with PBEsol.

* uncorrected energy: -32.65 eV per atom
* size of the total moment: 0.0 μB per cell
* energy of formation from the pure elements: 0.185 eV/atom

Lattice parameters (Å, degrees): 4.667 4.667 4.667 60.00 60.00 60.00
Fractional coordinates of all 4 atoms:
1 Y 0.000 0.000 0.000
2 In 0.750 0.750 0.750
3 Tc 0.250 0.250 0.250
4 Tc 0.500 0.500 0.500